First-principles (PBE) data for a relaxed structure of NbB2Au, as listed in Alexandria via LeMat-Bulk.

Cell lengths 5.777, 5.777, 5.777 Å; angles 90.00, 90.00, 90.00 degrees
Space group Fm-3m (No. 225)
Unique sites:
Nb  0.000  0.000  0.000 x4
B  0.250  0.250  0.250 x8
Au  0.000  0.000  0.500 x4

- uncorrected energy (eV per atom) = -5.98
- DFT formation energy (meV/atom) = 691
- D(E_F) (states/eV/atom) = 0.77
- energy above the lowest structure with this stoichiometry (meV per atom) = 0